Density functional theory data (GGA-PBE) for a relaxed Ba2SnAsAu2 crystal.

a = 4.687 Å, b = 4.687 Å, c = 9.591 Å
α = 90.00°, β = 90.00°, γ = 120.00°
Element x y z (fractional)
Ba 0.000 0.000 0.237
Ba 0.000 0.000 0.763
Sn 0.333 0.667 0.500
As 0.667 0.333 0.000
Au 0.333 0.667 0.000
Au 0.667 0.333 0.500

Electronic total energy (eV/atom): -3.973
Crystal system: hexagonal
Space-group type: P-6m2, No. 187